(1)
A plane-wave DFT calculation with PBEsol was carried out for crystalline Ca2TcTe at its relaxed geometry. Values from VASP.

Properties
As for the space group: No. 38. Its crystal system is orthorhombic. The energy relative to the elements, uncorrected comes out at -0.13 eV/atom.

The structure in Quantum ESPRESSO input format:
```
&SYSTEM
  ibrav = 0, nat = 8, ntyp = 3
/
ATOMIC_SPECIES
Ca 40.08 Ca.upf
Tc 98.00 Tc.upf
Te 127.60 Te.upf
CELL_PARAMETERS angstrom
4.187 0.000 0.000
0.000 4.361 0.000
0.000 0.000 11.248
ATOMIC_POSITIONS crystal
Ca 0.000 0.000 0.000
Ca 0.000 0.500 0.500
Ca 0.500 0.000 0.288
Ca 0.500 0.500 0.788
Tc 0.000 0.000 0.719
Tc 0.000 0.500 0.219
Te 0.500 0.000 0.581
Te 0.500 0.500 0.081
```

***

(2)
A plane-wave DFT calculation with PBEsol was carried out for crystalline HgMoAu2 at its relaxed geometry. Values from VASP.

Properties
As for the energy of formation from the pure elements: 0.3277 eV/atom. As for the space group: No. 12. Its crystal system is monoclinic.

The structure in Quantum ESPRESSO input format:
```
&SYSTEM
  ibrav = 0, nat = 8, ntyp = 3
/
ATOMIC_SPECIES
Hg 200.59 Hg.upf
Mo 95.94 Mo.upf
Au 196.97 Au.upf
CELL_PARAMETERS angstrom
9.344 0.000 0.000
0.000 2.783 0.000
-0.644 0.000 5.319
ATOMIC_POSITIONS crystal
Hg 0.000 0.000 0.000
Hg 0.500 0.500 0.000
Mo 0.000 0.500 0.500
Mo 0.500 0.000 0.500
Au 0.244 0.000 0.733
Au 0.256 0.500 0.267
Au 0.744 0.500 0.733
Au 0.756 0.000 0.267
```

***

(3)
A plane-wave DFT calculation with PBEsol was carried out for crystalline Lu2TeO6 at its relaxed geometry. Values from VASP.

Properties
As for the energy relative to the lowest polymorph listed for this composition: 0.000 eV/atom. As for the space group: No. 19. Its crystal system is orthorhombic. The energy relative to the elements, uncorrected comes out at -2.65 eV/atom.

The structure in Quantum ESPRESSO input format:
```
&SYSTEM
  ibrav = 0, nat = 36, ntyp = 3
/
ATOMIC_SPECIES
Lu 174.97 Lu.upf
Te 127.60 Te.upf
O 16.00 O.upf
CELL_PARAMETERS angstrom
5.140 0.000 0.000
0.000 8.871 0.000
0.000 0.000 9.728
ATOMIC_POSITIONS crystal
Lu 0.017 0.103 0.464
Lu 0.042 0.218 0.868
Lu 0.458 0.782 0.368
Lu 0.483 0.897 0.964
Lu 0.517 0.397 0.536
Lu 0.542 0.282 0.132
Lu 0.958 0.718 0.632
Lu 0.983 0.603 0.036
Te 0.037 0.494 0.349
Te 0.463 0.506 0.849
Te 0.537 0.006 0.651
Te 0.963 0.994 0.151
O 0.092 0.841 0.028
O 0.172 0.642 0.820
O 0.172 0.950 0.307
O 0.192 0.645 0.234
O 0.241 0.116 0.070
O 0.244 0.587 0.497
O 0.256 0.413 0.997
O 0.259 0.884 0.570
O 0.308 0.355 0.734
O 0.328 0.050 0.807
O 0.328 0.358 0.320
O 0.408 0.159 0.528
O 0.592 0.659 0.972
O 0.672 0.550 0.693
O 0.672 0.858 0.180
O 0.692 0.855 0.766
O 0.741 0.384 0.930
O 0.744 0.913 0.503
O 0.756 0.087 0.003
O 0.759 0.616 0.430
O 0.808 0.145 0.266
O 0.828 0.142 0.680
O 0.828 0.450 0.193
O 0.908 0.341 0.472
```

***

no.,E (eV per atom)
1,-4.895
2,-4.718
3,-7.624